Computed, not measured: a relaxed MnAsSeO2 crystal at the GGA+U level of DFT.

Cell lengths 3.7815, 3.7815, 5.4503 Å; angles 90.00, 90.00, 90.00 degrees
Space group P4/mmm (No. 123)
One atom of each set of equivalent atoms:
1 Mn 0.0000 0.0000 0.0000 x1
2 As 0.5000 0.5000 0.5000 x1
3 Se 0.0000 0.0000 0.5000 x1
4 O 0.0000 0.5000 0.0000 x2

E   -27.063 eV for the cell shown
Density   5.13 g/cm3
Magnetization   3.84 μB/f.u.